{"formula": "TiTlRh2I", "functional": "GGA-PBEsol", "state": "optimized geometry", "volume_a3_per_cell": 113, "space_group": "P4/mmm", "e_tot_ev_per_atom": -4.925, "e_form_raw_ev_per_atom": 0.874, "cell": [[4.792, 0.000, 0.000], [0.000, 4.792, 0.000], [0.000, 0.000, 4.923]], "species": ["Ti", "Tl", "Rh", "Rh", "I"], "fractional_positions": [[0.000, 0.000, 0.000], [0.500, 0.500, 0.000], [0.000, 0.500, 0.500], [0.500, 0.000, 0.500], [0.000, 0.000, 0.500]]}


{"formula": "LiMnF3", "functional": "GGA-PBEsol", "state": "optimized geometry", "volume_a3_per_cell": 521, "space_group": "Pbcn", "e_tot_ev_per_atom": -5.987, "e_form_raw_ev_per_atom": -2.485, "cell": [[9.963, 0.000, 0.000], [0.000, 9.067, 0.000], [0.000, 0.000, 5.766]], "species": ["Li", "Li", "Li", "Li", "Li", "Li", "Li", "Li", "Mn", "Mn", "Mn", "Mn", "Mn", "Mn", "Mn", "Mn", "F", "F", "F", "F", "F", "F", "F", "F", "F", "F", "F", "F", "F", "F", "F", "F", "F", "F", "F", "F", "F", "F", "F", "F"], "fractional_positions": [[0.205, 0.081, 0.045], [0.205, 0.919, 0.545], [0.295, 0.419, 0.545], [0.295, 0.581, 0.045], [0.705, 0.419, 0.955], [0.705, 0.581, 0.455], [0.795, 0.081, 0.455], [0.795, 0.919, 0.955], [0.000, 0.215, 0.750], [0.000, 0.407, 0.250], [0.000, 0.593, 0.750], [0.000, 0.785, 0.250], [0.500, 0.093, 0.750], [0.500, 0.285, 0.250], [0.500, 0.715, 0.750], [0.500, 0.907, 0.250], [0.102, 0.253, 0.067], [0.102, 0.747, 0.567], [0.104, 0.412, 0.585], [0.104, 0.588, 0.085], [0.152, 0.067, 0.734], [0.152, 0.933, 0.234], [0.348, 0.433, 0.234], [0.348, 0.567, 0.734], [0.396, 0.088, 0.085], [0.396, 0.912, 0.585], [0.398, 0.247, 0.567], [0.398, 0.753, 0.067], [0.602, 0.247, 0.933], [0.602, 0.753, 0.433], [0.604, 0.088, 0.415], [0.604, 0.912, 0.915], [0.652, 0.433, 0.266], [0.652, 0.567, 0.766], [0.848, 0.067, 0.766], [0.848, 0.933, 0.266], [0.896, 0.412, 0.915], [0.896, 0.588, 0.415], [0.898, 0.253, 0.433], [0.898, 0.747, 0.933]]}


{"formula": "LiRu2Cl", "functional": "GGA-PBEsol", "state": "optimized geometry", "volume_a3_per_cell": 58, "space_group": "Amm2", "e_tot_ev_per_atom": -6.116, "e_form_raw_ev_per_atom": -0.036, "cell": [[2.868, 0.000, 0.000], [0.000, 1.437, 7.071], [0.000, -1.437, 7.071]], "species": ["Li", "Ru", "Ru", "Cl"], "fractional_positions": [[0.000, 0.000, 0.000], [0.000, 0.746, 0.746], [0.500, 0.349, 0.349], [0.500, 0.597, 0.597]]}


{"formula": "Al2SbPb", "functional": "GGA-PBEsol", "state": "optimized geometry", "volume_a3_per_cell": 93, "space_group": "I-4m2", "e_tot_ev_per_atom": -3.941, "e_form_raw_ev_per_atom": 0.243, "cell": [[-2.092, 2.092, 5.320], [2.092, -2.092, 5.320], [2.092, 2.092, -5.320]], "species": ["Al", "Al", "Sb", "Pb"], "fractional_positions": [[0.000, 0.000, 0.000], [0.750, 0.250, 0.500], [0.250, 0.750, 0.500], [0.500, 0.500, 0.000]]}


{"formula": "BeCd4In", "functional": "GGA-PBEsol", "state": "optimized geometry", "delta_e_f_ev_per_atom": 0.426, "volume_a3_per_cell": 127, "space_group": "F-43m", "e_tot_ev_per_atom": -1.536, "cell": [[0.000, 3.995, 3.995], [3.995, 0.000, 3.995], [3.995, 3.995, 0.000]], "species": ["Be", "Cd", "Cd", "Cd", "Cd", "In"], "fractional_positions": [[0.000, 0.000, 0.000], [0.375, 0.375, 0.375], [0.375, 0.375, 0.876], [0.375, 0.876, 0.375], [0.876, 0.375, 0.375], [0.750, 0.750, 0.750]]}


{"formula": "InGeOsW2", "functional": "GGA-PBEsol", "state": "optimized geometry", "delta_e_f_ev_per_atom": 1.733, "volume_a3_per_cell": 113, "space_group": "P4/mmm", "e_tot_ev_per_atom": -7.818, "cell": [[4.766, 0.000, 0.000], [0.000, 4.766, 0.000], [0.000, 0.000, 4.976]], "species": ["In", "Ge", "Os", "W", "W"], "fractional_positions": [[0.000, 0.000, 0.000], [0.500, 0.500, 0.000], [0.000, 0.000, 0.500], [0.000, 0.500, 0.500], [0.500, 0.000, 0.500]]}


{"formula": "AlFeBiS2", "functional": "GGA-PBEsol", "state": "optimized geometry", "volume_a3_per_cell": 99, "space_group": "P4/mmm", "e_tot_ev_per_atom": -4.789, "e_form_raw_ev_per_atom": 0.432, "cell": [[4.568, 0.000, 0.000], [0.000, 4.568, 0.000], [0.000, 0.000, 4.759]], "species": ["Al", "Fe", "Bi", "S", "S"], "fractional_positions": [[0.000, 0.000, 0.000], [0.000, 0.000, 0.500], [0.500, 0.500, 0.500], [0.000, 0.500, 0.000], [0.500, 0.000, 0.000]]}


{"formula": "Cr2CdW", "functional": "GGA-PBEsol", "state": "optimized geometry", "delta_e_f_ev_per_atom": 0.554, "volume_a3_per_cell": 57, "space_group": "P4/mmm", "e_tot_ev_per_atom": -8.318, "cell": [[4.262, 0.000, 0.000], [0.000, 4.262, 0.000], [0.000, 0.000, 3.147]], "species": ["Cr", "Cr", "Cd", "W"], "fractional_positions": [[0.000, 0.500, 0.000], [0.500, 0.000, 0.000], [0.000, 0.000, 0.500], [0.500, 0.500, 0.500]]}


What is the formula in the third record?
LiRu2Cl